Density functional theory data (meta-GGA SCAN) for a crystal of Ca2AlAu relaxed with PBEsol.

Lattice parameters (Å, degrees): 3.6308 3.6308 7.1943 90.00 90.00 90.00
Closest atoms and distances in Å follow each position.
Sites, in units of the cell vectors:
1 Ca 0.0000 0.0000 0.7390  4 Au 3.09, 4 Al 3.18, 1 Ca 3.44
2 Ca 0.0000 0.0000 0.2610  4 Au 3.09, 4 Al 3.18, 1 Ca 3.44
3 Au 0.5000 0.5000 0.5000  8 Ca 3.09
4 Al 0.5000 0.5000 0.0000  8 Ca 3.18

Calculated values
- space group = No. 123
- calculated formation energy (meV per atom) = -559
- total moment (μB/cell) = 0.0